Compound: HOs3W
Source: Alexandria
Functional: PBE
Structure: relaxed

The space group is No. 221. As for the crystal system: cubic. Its energy relative to the lowest polymorph listed for this composition is 2835 meV per atom.

Structure (POSCAR):
```
HOs3W
1.0
4.763 0.000 0.000
0.000 4.763 0.000
0.000 0.000 4.763
H Os W
1 3 1
Direct
0.000 0.000 0.000
0.000 0.500 0.500
0.500 0.000 0.500
0.500 0.500 0.000
0.500 0.500 0.500
```

***

Compound: YH3Os
Source: Alexandria
Functional: PBE
Structure: relaxed

As for the total energy: -4.689 eV per atom. The space group is No. 221. As for the crystal system: cubic.

Structure (POSCAR):
```
YH3Os
1.0
3.846 0.000 0.000
0.000 3.846 0.000
0.000 0.000 3.846
Y H Os
1 3 1
Direct
0.000 0.000 0.000
0.000 0.000 0.500
0.000 0.500 0.000
0.500 0.000 0.000
0.500 0.500 0.500
```

***

Spin magnetization for every record listed, in sequence, given in μB per formula unit: 3.9 1.7.
Theoretical density for every record listed, in sequence, given in Mg/m³: 11.61 8.24.